# 1
## Pm2PrRh9 (PBE-GGA)

Data for Pm2PrRh9 after structural relaxation.

abc: 9.3624 9.3624 9.3624
angles: 33.06 33.06 33.06
Fractional positions:
Pm (0.1391, 0.1391, 0.1391)
Pm (0.8609, 0.8609, 0.8609)
Pr (0.0000, 0.0000, 0.0000)
Rh (0.0827, 0.5817, 0.5817)
Rh (0.3328, 0.3328, 0.3328)
Rh (0.4183, 0.4183, 0.9173)
Rh (0.4183, 0.9173, 0.4183)
Rh (0.5000, 0.5000, 0.5000)
Rh (0.5817, 0.0827, 0.5817)
Rh (0.5817, 0.5817, 0.0827)
Rh (0.6672, 0.6672, 0.6672)
Rh (0.9173, 0.4183, 0.4183)

Summary:
* ΔE_f: -596 kJ/mol of formula units

# 2
## KMg2Tc (PBE-GGA)

Data for KMg2Tc after structural relaxation.

abc: 2.8340 4.6992 8.1977
angles: 90.00 90.71 90.00
Fractional positions:
K (0.0000, 0.0000, 0.0000)
Mg (0.5183, 0.0000, 0.4008)
Mg (0.5288, 0.5000, 0.6274)
Tc (0.0168, 0.5000, 0.3385)

Summary:
* offset from the most stable computed form: 12.2 kJ/mol of atoms
* ΔE_f: 225 kJ/mol of formula units

# 3
## NdZn2Ga (PBE-GGA)

Data for NdZn2Ga after structural relaxation.

abc: 4.8346 4.8346 4.8346
angles: 60.00 60.00 60.00
Fractional positions:
Nd (0.0000, 0.0000, 0.0000)
Zn (0.2500, 0.2500, 0.2500)
Zn (0.7500, 0.7500, 0.7500)
Ga (0.5000, 0.5000, 0.5000)

Summary:
* ΔE_f: -108 kJ/mol of formula units

| no. | density (g cm⁻³) | size of the total moment (μB per cell) | raw total energy (eV/cell) |
| --- | --- | --- | --- |
| 1 | 10.37 | 0.00 | -86.62 |
| 2 | 2.82 | 0.00 | -12.32 |
| 3 | 7.17 | 0.00 | -11.47 |